Record 1
A geometry-optimized ZrIn3Ge structure, computed with PBEsol.

The crystal system is cubic. The final energy is -3.873 eV/atom. For the formation energy, the calculation gives 0.722 eV per atom. The density of states at the Fermi level is 5.22 states/eV/cell.

The space group is Pm-3m (No. 221) and the conventional cell measures 5.103, 5.103 and 5.103 Å, with angles of 90.00, 90.00 and 90.00 degrees. The distinct sites, in fractional coordinates, are Zr at (0.000, 0.000, 0.000), In at (0.000, 0.500, 0.500) and Ge at (0.500, 0.500, 0.500).

Record 2
A geometry-optimized Cr2NiMo structure, computed with PBEsol.

The crystal system is orthorhombic. The final energy is -9.443 eV/atom. For the formation energy, the calculation gives 0.159 eV per atom. The density of states at the Fermi level is 9.15 states/eV/cell.

The space group is Imm2 (No. 44) and the conventional cell measures 3.103, 4.024 and 7.739 Å, with angles of 90.00, 90.00 and 90.00 degrees. The distinct sites, in fractional coordinates, are Cr at (0.000, 0.000, 0.000), Cr at (0.000, 0.500, 0.274), Ni at (0.000, 0.000, 0.514) and Mo at (0.000, 0.500, 0.748).

Record 3
A geometry-optimized Sc2BeCu structure, computed with PBEsol.

The crystal system is tetragonal. The final energy is -5.292 eV/atom. For the formation energy, the calculation gives 0.094 eV per atom. The density of states at the Fermi level is 9.42 states/eV/cell.

The space group is I-4m2 (No. 119) and the conventional cell measures 3.857, 3.857 and 8.561 Å, with angles of 90.00, 90.00 and 90.00 degrees. The distinct sites, in fractional coordinates, are Sc at (0.000, 0.000, 0.000), Sc at (0.000, 0.500, 0.250), Be at (0.000, 0.000, 0.500) and Cu at (0.000, 0.500, 0.750).

Record 4
A geometry-optimized BaMg2Mo structure, computed with PBEsol.

The crystal system is trigonal. The final energy is -3.669 eV/atom. For the formation energy, the calculation gives 0.669 eV per atom. The energy above the most stable polymorph in this dataset comes out at 0.0 meV per atom. The density of states at the Fermi level is 14.60 states/eV/cell.

The space group is R-3m (No. 166, hexagonal axes) and the conventional cell measures 3.1121, 3.1121 and 33.3027 Å, with angles of 90.00, 90.00 and 120.00 degrees. The distinct sites, in fractional coordinates, are Ba at (0.0000, 0.0000, 0.0000), Mg at (0.0000, 0.0000, 0.2355) and Mo at (0.0000, 0.0000, 0.5000).

Which value of final energy does entry 4 give?
-3.669 eV/atom

Among the records above, which one has the lowest final energy?
Cr2NiMo

Look up the final energy of the first one.
-3.873 eV/atom